1.
DFT (GGA-PBEsol) results for a relaxed structure of HfBiP2Ir.

Cell: 4.847 4.847 4.892 Å, 90.00 90.00 90.00°
Sites, in units of the cell vectors:
Hf (0.000, 0.000, 0.000)
Bi (0.500, 0.500, 0.500)
P (0.000, 0.500, 0.000)
P (0.500, 0.000, 0.000)
Ir (0.000, 0.000, 0.500)

Computed properties:
- calculated formation energy (eV/atom) = 0.6587
- DOS(E_F) (states/eV/atom) = 0.99
- volume (A^3/atom) = 22.98

2.
DFT (GGA-PBEsol) results for a relaxed structure of Ce2W3O12.

Cell: 6.930 6.930 11.512 Å, 100.45 100.45 111.59°
Sites, in units of the cell vectors:
Ce (0.042, 0.288, 0.095)
Ce (0.288, 0.042, 0.595)
Ce (0.712, 0.958, 0.405)
Ce (0.958, 0.712, 0.905)
W (0.138, 0.862, 0.250)
W (0.251, 0.462, 0.451)
W (0.462, 0.251, 0.951)
W (0.538, 0.749, 0.049)
W (0.749, 0.538, 0.549)
W (0.862, 0.138, 0.750)
O (0.081, 0.659, 0.107)
O (0.088, 0.186, 0.457)
O (0.110, 0.465, 0.303)
O (0.116, 0.210, 0.718)
O (0.186, 0.088, 0.957)
O (0.210, 0.116, 0.218)
O (0.227, 0.661, 0.560)
O (0.339, 0.773, 0.940)
O (0.341, 0.919, 0.393)
O (0.401, 0.473, 0.075)
O (0.465, 0.110, 0.803)
O (0.473, 0.401, 0.575)
O (0.527, 0.599, 0.425)
O (0.535, 0.890, 0.197)
O (0.599, 0.527, 0.925)
O (0.659, 0.081, 0.607)
O (0.661, 0.227, 0.060)
O (0.773, 0.339, 0.440)
O (0.790, 0.884, 0.782)
O (0.814, 0.912, 0.043)
O (0.884, 0.790, 0.282)
O (0.890, 0.535, 0.697)
O (0.912, 0.814, 0.543)
O (0.919, 0.341, 0.893)

Computed properties:
- DOS(E_F) (states/eV/atom) = 0.88
- energy relative to the elements, uncorrected (meV/atom) = -2530
- volume (A^3/atom) = 14.31

3.
DFT (GGA-PBEsol) results for a relaxed structure of Mg2TiCl.

Cell: 6.183 6.183 6.183 Å, 101.95 101.95 125.86°
Sites, in units of the cell vectors:
Mg (0.083, 0.625, 0.958)
Mg (0.375, 0.333, 0.458)
Mg (0.667, 0.125, 0.042)
Mg (0.875, 0.917, 0.542)
Ti (0.250, 0.750, 0.500)
Ti (0.500, 0.500, 0.000)
Cl (0.000, 0.000, 0.000)
Cl (0.750, 0.250, 0.500)

Computed properties:
- DOS(E_F) (states/eV/atom) = 0.99
- energy relative to the elements, uncorrected (meV/atom) = 87
- volume (A^3/atom) = 21.32

4.
DFT (GGA-PBEsol) results for a relaxed structure of NdSe2.

Cell: 4.105 4.105 8.456 Å, 90.00 90.00 90.00°
Sites, in units of the cell vectors:
Nd (0.250, 0.250, 0.227)
Nd (0.750, 0.750, 0.773)
Se (0.250, 0.250, 0.868)
Se (0.250, 0.750, 0.500)
Se (0.750, 0.250, 0.500)
Se (0.750, 0.750, 0.132)

Computed properties:
- DOS(E_F) (states/eV/atom) = 0.15
- energy relative to the elements, uncorrected (meV/atom) = -1665
- volume (A^3/atom) = 23.75

5.
DFT (GGA-PBEsol) results for a relaxed structure of Ba2TlAg.

Cell: 5.537 5.537 5.537 Å, 60.00 60.00 60.00°
Sites, in units of the cell vectors:
Ba (0.000, 0.000, 0.000)
Ba (0.250, 0.250, 0.250)
Tl (0.500, 0.500, 0.500)
Ag (0.750, 0.750, 0.750)

Computed properties:
- calculated formation energy (eV/atom) = -0.2096
- DOS(E_F) (states/eV/atom) = 0.02
- E above lowest polymorph (eV/atom) = 0.092
- volume (A^3/atom) = 30.01

6.
DFT (GGA-PBEsol) results for a relaxed structure of Y3PPd.

Cell: 5.137 5.137 5.137 Å, 90.00 90.00 90.00°
Sites, in units of the cell vectors:
Y (0.000, 0.000, 0.500)
Y (0.000, 0.500, 0.000)
Y (0.500, 0.000, 0.000)
P (0.000, 0.000, 0.000)
Pd (0.500, 0.500, 0.500)

Computed properties:
- calculated formation energy (eV/atom) = -0.4040
- DOS(E_F) (states/eV/atom) = 1.83
- volume (A^3/atom) = 27.12

Repeat the second record exactly.
DFT (GGA-PBEsol) results for a relaxed structure of Ce2W3O12.

Cell: 6.930 6.930 11.512 Å, 100.45 100.45 111.59°
Sites, in units of the cell vectors:
Ce (0.042, 0.288, 0.095)
Ce (0.288, 0.042, 0.595)
Ce (0.712, 0.958, 0.405)
Ce (0.958, 0.712, 0.905)
W (0.138, 0.862, 0.250)
W (0.251, 0.462, 0.451)
W (0.462, 0.251, 0.951)
W (0.538, 0.749, 0.049)
W (0.749, 0.538, 0.549)
W (0.862, 0.138, 0.750)
O (0.081, 0.659, 0.107)
O (0.088, 0.186, 0.457)
O (0.110, 0.465, 0.303)
O (0.116, 0.210, 0.718)
O (0.186, 0.088, 0.957)
O (0.210, 0.116, 0.218)
O (0.227, 0.661, 0.560)
O (0.339, 0.773, 0.940)
O (0.341, 0.919, 0.393)
O (0.401, 0.473, 0.075)
O (0.465, 0.110, 0.803)
O (0.473, 0.401, 0.575)
O (0.527, 0.599, 0.425)
O (0.535, 0.890, 0.197)
O (0.599, 0.527, 0.925)
O (0.659, 0.081, 0.607)
O (0.661, 0.227, 0.060)
O (0.773, 0.339, 0.440)
O (0.790, 0.884, 0.782)
O (0.814, 0.912, 0.043)
O (0.884, 0.790, 0.282)
O (0.890, 0.535, 0.697)
O (0.912, 0.814, 0.543)
O (0.919, 0.341, 0.893)

Computed properties:
- DOS(E_F) (states/eV/atom) = 0.88
- energy relative to the elements, uncorrected (meV/atom) = -2530
- volume (A^3/atom) = 14.31